# 1
# HfAs2Au2 (PBE, relaxed)
data_HfAs2Au2
_symmetry_space_group_name_H-M 'P 4/m b m'
_symmetry_Int_Tables_number 127
_symmetry_space_group_name_Hall '-P 4 2ab'
_cell_length_a 7.243
_cell_length_b 7.243
_cell_length_c 3.686
_cell_angle_alpha 90.00
_cell_angle_beta 90.00
_cell_angle_gamma 90.00
loop_
_atom_site_label
_atom_site_type_symbol
_atom_site_fract_x
_atom_site_fract_y
_atom_site_fract_z
_atom_site_occupancy
Hf1 Hf 0.000 0.000 0.000 1
As1 As 0.162 0.338 0.000 1
Au1 Au 0.144 0.644 0.500 1
# - DFT total energy (eV per atom) = -5.273
# - formation energy from the elements (eV/atom) = -0.112



# 2
# NaUZn2O6 (PBE, relaxed)
data_NaUZn2O6
_symmetry_space_group_name_H-M 'C 1 2/c 1'
_symmetry_Int_Tables_number 15
_symmetry_space_group_name_Hall '-C 2yc'
_cell_length_a 11.345
_cell_length_b 9.565
_cell_length_c 6.322
_cell_angle_alpha 90.00
_cell_angle_beta 113.04
_cell_angle_gamma 90.00
loop_
_atom_site_label
_atom_site_type_symbol
_atom_site_fract_x
_atom_site_fract_y
_atom_site_fract_z
_atom_site_occupancy
Na1 Na 0.000 0.097 0.250 1
U1 U 0.000 0.266 0.750 1
Zn1 Zn 0.203 0.434 0.142 1
O1 O 0.080 0.271 0.089 1
O2 O 0.118 0.105 0.715 1
O3 O 0.143 0.429 0.797 1
# - DFT total energy (eV per atom) = -6.441